VASP calculation (GGA-PBE) on an optimized crystal structure of AlAgIr2.

## Properties
- calculated density (g cm⁻³) = 14.15
- magnetic moment (μB per formula unit) = 0.3
- E (eV/atom) = -6.10
- DOS(E_F) (states/eV/cell) = 4.81

Unit cell a=9.0373 b=9.0373 c=9.0373 alpha=17.91 beta=17.91 gamma=17.91
Last column: magnetic moment on the atom in μB.
Sites, in units of the cell vectors:
Ir 0.0031 0.0031 0.0031  0.06
Ir 0.2544 0.2544 0.2544  0.22
Al 0.7458 0.7458 0.7458  0.00
Ag 0.4966 0.4966 0.4966  0.00